# Rb2MoClF6 (GGA+U, relaxed)
data_Rb2MoClF6
_space_group_name_H-M_alt 'P 1'
_space_group_IT_number 1
_space_group_name_Hall 'P 1'
_cell_length_a 6.7015
_cell_length_b 8.3044
_cell_length_c 6.4240
_cell_angle_alpha 63.26
_cell_angle_beta 47.68
_cell_angle_gamma 59.71
loop_
_atom_site_label
_atom_site_fract_x
_atom_site_fract_y
_atom_site_fract_z
Rb1 0.5340 0.6434 0.2237
Rb2 0.0986 0.9891 0.8793
Mo1 0.3162 0.3161 0.0515
Cl1 0.8161 0.8160 0.5516
F1 0.5875 0.3603 0.0279
F2 0.4811 0.0434 0.1379
F3 0.0808 0.3221 0.4480
F4 0.1513 0.5889 0.9651
F5 0.5513 0.3102 0.6550
F6 0.0447 0.2720 0.0753
# - ρ: 3.1 g cm⁻³
# - Energy above the most stable polymorph in this dataset: 0 meV/atom
# - V: 224.8 Å³/cell
# - Symmetry: P-1 (2)
# - VASP energy: -4.659 eV/atom

***

# Rb2MoCl4F2 (GGA+U, relaxed)
data_Rb2MoCl4F2
_space_group_name_H-M_alt 'P 1'
_space_group_IT_number 1
_space_group_name_Hall 'P 1'
_cell_length_a 5.8437
_cell_length_b 6.8260
_cell_length_c 6.8260
_cell_angle_alpha 64.19
_cell_angle_beta 79.64
_cell_angle_gamma 79.64
loop_
_atom_site_label
_atom_site_fract_x
_atom_site_fract_y
_atom_site_fract_z
Rb1 0.1832 0.6709 0.6709
Rb2 0.8168 0.3291 0.3291
Mo1 0.5000 0.0000 0.0000
Cl1 0.3084 0.6665 0.1468
Cl2 0.6916 0.8532 0.3335
Cl3 0.6916 0.3335 0.8532
Cl4 0.3084 0.1468 0.6665
F1 0.2362 0.1389 0.1389
F2 0.7638 0.8611 0.8611
# - ρ: 3.1 g cm⁻³
# - V: 239.5 Å³/cell
# - Symmetry: C2/m (12)
# - VASP energy: -4.120 eV/atom
# - D(E_F): 0.000 states/eV/f.u.

***

# Rb2MoClF6 (GGA+U, relaxed)
data_Rb2MoClF6
_space_group_name_H-M_alt 'P 1'
_space_group_IT_number 1
_space_group_name_Hall 'P 1'
_cell_length_a 7.0875
_cell_length_b 7.0875
_cell_length_c 6.9632
_cell_angle_alpha 59.41
_cell_angle_beta 59.41
_cell_angle_gamma 90.00
loop_
_atom_site_label
_atom_site_fract_x
_atom_site_fract_y
_atom_site_fract_z
Mo1 0.0000 0.0000 0.0000
F1 0.1963 0.1963 0.6074
F2 0.8037 0.8037 0.3926
F3 0.1945 0.1945 0.0000
F4 0.8055 0.8055 0.0000
F5 0.8055 0.1945 0.0000
F6 0.1945 0.8055 0.0000
Rb1 0.7500 0.2500 0.5000
Rb2 0.2500 0.7500 0.5000
Cl1 0.5000 0.5000 0.0000
# - ρ: 2.8 g cm⁻³
# - Energy above the most stable polymorph in this dataset: 155 meV/atom
# - V: 242.8 Å³/cell
# - Symmetry: I4/mmm (139)
# - VASP energy: -4.504 eV/atom
# - D(E_F): 0.000 states/eV/f.u.

***

# Rb2MoCl5F (GGA+U, relaxed)
data_Rb2MoCl5F
_space_group_name_H-M_alt 'P 1'
_space_group_IT_number 1
_space_group_name_Hall 'P 1'
_cell_length_a 7.1333
_cell_length_b 7.1333
_cell_length_c 7.1333
_cell_angle_alpha 94.02
_cell_angle_beta 117.71
_cell_angle_gamma 117.71
loop_
_atom_site_label
_atom_site_fract_x
_atom_site_fract_y
_atom_site_fract_z
Rb1 0.5000 0.2448 0.7448
Rb2 0.5000 0.7448 0.2448
Mo1 0.0000 0.9963 0.9963
Cl1 0.4680 0.2284 0.2284
Cl2 0.5320 0.7604 0.7604
Cl3 0.0000 0.7604 0.2284
Cl4 0.0000 0.2284 0.7604
Cl5 0.0000 0.2426 0.2426
F1 0.0000 0.7940 0.7940
# - ρ: 2.9 g cm⁻³
# - V: 264.8 Å³/cell
# - Symmetry: I4mm (107)
# - VASP energy: -3.854 eV/atom
# - D(E_F): 5.902 states/eV/f.u.

***

# Rb2MoCl3F3 (GGA+U, relaxed)
data_Rb2MoCl3F3
_space_group_name_H-M_alt 'P 1'
_space_group_IT_number 1
_space_group_name_Hall 'P 1'
_cell_length_a 3.9220
_cell_length_b 7.5286
_cell_length_c 7.5286
_cell_angle_alpha 120.00
_cell_angle_beta 90.00
_cell_angle_gamma 90.00
loop_
_atom_site_label
_atom_site_fract_x
_atom_site_fract_y
_atom_site_fract_z
Rb1 0.5000 0.3333 0.6667
Rb2 0.5000 0.6667 0.3333
Mo1 0.0000 0.0000 0.0000
Cl1 0.0000 0.0000 0.3215
Cl2 0.0000 0.6785 0.6785
Cl3 0.0000 0.3215 0.0000
F1 0.5000 0.8002 0.0000
F2 0.5000 0.1998 0.1998
F3 0.5000 0.0000 0.8002
# - ρ: 3.7 g cm⁻³
# - V: 192.5 Å³/cell
# - Symmetry: P-62m (189)
# - VASP energy: -3.902 eV/atom

***

# Mo2RhClF (GGA+U, relaxed)
data_Mo2RhClF
_space_group_name_H-M_alt 'P 1'
_space_group_IT_number 1
_space_group_name_Hall 'P 1'
_cell_length_a 5.2980
_cell_length_b 4.4963
_cell_length_c 5.2980
_cell_angle_alpha 90.00
_cell_angle_beta 90.00
_cell_angle_gamma 90.00
loop_
_atom_site_label
_atom_site_fract_x
_atom_site_fract_y
_atom_site_fract_z
Mo1 0.0000 0.0000 0.5000
Mo2 0.5000 0.0000 0.0000
F1 0.5000 0.5000 0.5000
Rh1 0.0000 0.0000 0.0000
Cl1 0.0000 0.5000 0.0000
# - ρ: 4.6 g cm⁻³
# - V: 126.2 Å³/cell
# - Symmetry: P4/mmm (123)
# - VASP energy: -4.420 eV/atom
# - D(E_F): 2.453 states/eV/f.u.

***

# MoS2ClF (GGA+U, relaxed)
data_MoS2ClF
_space_group_name_H-M_alt 'P 1'
_space_group_IT_number 1
_space_group_name_Hall 'P 1'
_cell_length_a 4.6181
_cell_length_b 4.6181
_cell_length_c 4.8067
_cell_angle_alpha 90.00
_cell_angle_beta 90.00
_cell_angle_gamma 90.00
loop_
_atom_site_label
_atom_site_fract_x
_atom_site_fract_y
_atom_site_fract_z
Mo1 0.0000 0.0000 0.0000
F1 0.5000 0.5000 0.5000
S1 0.0000 0.5000 0.0000
S2 0.5000 0.0000 0.0000
Cl1 0.0000 0.0000 0.5000
# - ρ: 3.5 g cm⁻³
# - Energy above the most stable polymorph in this dataset: 0 meV/atom
# - V: 102.5 Å³/cell
# - Symmetry: P4/mmm (123)
# - VASP energy: -3.757 eV/atom
# - D(E_F): 3.417 states/eV/f.u.

***

# MoS2ClF (GGA+U, relaxed)
data_MoS2ClF
_space_group_name_H-M_alt 'P 1'
_space_group_IT_number 1
_space_group_name_Hall 'P 1'
_cell_length_a 4.1582
_cell_length_b 4.1582
_cell_length_c 5.6272
_cell_angle_alpha 90.00
_cell_angle_beta 90.00
_cell_angle_gamma 90.00
loop_
_atom_site_label
_atom_site_fract_x
_atom_site_fract_y
_atom_site_fract_z
Mo1 0.5000 0.5000 0.5000
F1 0.0000 0.0000 0.0000
S1 0.0000 0.5000 0.0000
S2 0.5000 0.0000 0.0000
Cl1 0.0000 0.0000 0.5000
# - ρ: 3.7 g cm⁻³
# - Energy above the most stable polymorph in this dataset: 411 meV/atom
# - V: 97.3 Å³/cell
# - Symmetry: P4/mmm (123)
# - VASP energy: -3.346 eV/atom
# - D(E_F): 2.167 states/eV/f.u.